No. 1
## BaSrHg (PBE)

Data for crystalline BaSrHg at its relaxed geometry.

Calculated values
- D(E_F): 4.67 states/eV/cell
- Energy of formation: 0.6 eV/f.u.
- Space-group type: F-43m

The structure in POSCAR format:
```
BaSrHg
1.0
-5.651 -0.845 0.291
-2.512 -0.822 5.074
-3.388 4.049 2.204
Sr Hg Ba
1 1 1
Cartesian
-5.775 1.191 3.785
0.000 0.000 0.000
-8.663 1.786 5.677
```

No. 2
## BaSr5Hg (PBE)

Data for crystalline BaSr5Hg at its relaxed geometry.

Calculated values
- D(E_F): 15.49 states/eV/cell
- Energy of formation: -0.8 eV/f.u.
- Space-group type: P2_1/m

The structure in POSCAR format:
```
BaSr5Hg
1.0
-1.999 -3.200 -1.905
7.925 -6.201 2.101
-8.034 -3.238 13.873
Sr Hg Ba
10 2 2
Cartesian
0.092 -10.440 10.409
1.762 -3.603 1.859
-4.271 -4.967 10.482
5.893 -6.435 2.282
-8.002 -6.205 11.788
2.162 -7.674 3.588
-2.201 -2.200 3.661
2.204 -7.478 7.906
-3.871 -9.037 12.210
-4.313 -5.162 6.164
-0.589 -8.958 13.324
-1.519 -3.682 0.746
-2.069 -7.853 8.329
-0.040 -4.787 5.740
```